# LiInPb2

A PBEsol-optimized structure of LiInPb2 (SCAN, Alexandria via LeMat-Bulk).

Output
- SG = P4/mmm (123)
- formation enthalpy at 0 K (meV/atom) = -167
- DFT total energy (eV per atom) = -47.0015

Lattice parameters (Å, degrees): 4.5674 4.7276 4.7321 90.00 90.00 90.00
With the nearest neighbours (Å) after each atom.
Fractional positions:
1 Pb 0.0000 0.0000 0.0000  4 In 3.29, 4 Li 3.29, 4 Pb 3.34
2 Pb 0.0000 0.5000 0.5000  4 Li 3.29, 4 In 3.29, 4 Pb 3.34
3 In 0.5000 0.5000 0.0000  8 Pb 3.29, 4 Li 3.34
4 Li 0.5000 0.0000 0.5000  8 Pb 3.29, 4 In 3.34


# LiInPb2

A PBEsol-optimized structure of LiInPb2 (SCAN, Alexandria via LeMat-Bulk).

Output
- SG = P2/m (10)
- formation enthalpy at 0 K (meV/atom) = -98
- DFT total energy (eV per atom) = -46.9329

Lattice parameters (Å, degrees): 3.3390 5.3770 5.8621 90.00 91.40 90.00
With the nearest neighbours (Å) after each atom.
Fractional positions:
1 Pb 0.7415 0.0000 0.7467  2 Li 3.18, 2 In 3.18, 6 Pb 3.28-3.41
2 Pb 0.2587 0.0000 0.2533  2 Li 3.18, 2 In 3.18, 6 Pb 3.28-3.41
3 In 0.5000 0.5000 0.0000  4 Pb 3.18, 4 Li 3.34-3.41, 2 In 3.34
4 Li 0.0000 0.5000 0.5000  4 Pb 3.18, 4 In 3.34-3.41, 2 Li 3.34


# LiInPb2

A PBEsol-optimized structure of LiInPb2 (SCAN, Alexandria via LeMat-Bulk).

Output
- SG = Cmmm (65)
- formation enthalpy at 0 K (meV/atom) = -142
- DFT total energy (eV per atom) = -46.9766

Lattice parameters (Å, degrees): 3.3746 5.7174 5.7174 109.95 90.00 90.00
With the nearest neighbours (Å) after each atom.
Fractional positions:
1 Pb 0.0000 0.5000 0.0000  4 Pb 3.28-3.37, 4 Li 3.32, 4 In 3.32
2 Pb 0.0000 0.0000 0.5000  4 Pb 3.28-3.37, 4 In 3.32, 4 Li 3.32
3 In 0.5000 0.0000 0.0000  2 Li 3.28, 8 Pb 3.32, 2 In 3.37
4 Li 0.5000 0.5000 0.5000  2 In 3.28, 8 Pb 3.32, 2 Li 3.37


# LiIn2Pb

A PBEsol-optimized structure of LiIn2Pb (SCAN, Alexandria via LeMat-Bulk).

Output
- SG = Pmm2 (25)
- formation enthalpy at 0 K (meV/atom) = -140
- DFT total energy (eV per atom) = -36.3762

Lattice parameters (Å, degrees): 3.4025 4.4797 6.3957 90.00 90.00 90.00
With the nearest neighbours (Å) after each atom.
Fractional positions:
1 Pb 0.5000 0.5000 0.7413  6 In 3.13-3.30, 4 Li 3.23, 2 Pb 3.40
2 In 0.0000 0.0000 0.0119  2 Li 3.09-3.31, 6 In 3.20-3.40, 4 Pb 3.30
3 In 0.5000 0.5000 0.2521  2 Pb 3.13-3.27, 6 In 3.20-3.40, 4 Li 3.21
4 Li 0.0000 0.0000 0.4946  6 In 3.09-3.31, 4 Pb 3.23, 2 Li 3.40


# LiInPb2

A PBEsol-optimized structure of LiInPb2 (SCAN, Alexandria via LeMat-Bulk).

Output
- SG = C2/m (12)
- formation enthalpy at 0 K (meV/atom) = -104
- DFT total energy (eV per atom) = -46.9387

Lattice parameters (Å, degrees): 3.3304 6.2593 6.2593 115.88 103.32 103.32
With the nearest neighbours (Å) after each atom.
Fractional positions:
1 Pb 0.0000 0.5000 0.0000  2 Li 3.19, 2 In 3.19, 6 Pb 3.32-3.54
2 Pb 0.0000 0.0000 0.5000  2 In 3.19, 2 Li 3.19, 6 Pb 3.32-3.54
3 In 0.5000 0.0000 0.0000  4 Pb 3.19, 4 Li 3.32-3.54, 2 In 3.33
4 Li 0.5000 0.5000 0.5000  4 Pb 3.19, 4 In 3.32-3.54, 2 Li 3.33


# LiIn2Pb

A PBEsol-optimized structure of LiIn2Pb (SCAN, Alexandria via LeMat-Bulk).

Output
- SG = Cm (8)
- formation enthalpy at 0 K (meV/atom) = -142
- DFT total energy (eV per atom) = -36.3784

Lattice parameters (Å, degrees): 3.3518 5.3085 5.8495 99.57 90.00 108.40
With the nearest neighbours (Å) after each atom.
Fractional positions:
1 Pb 0.7557 0.5114 0.2668  3 Li 3.11-3.13, 7 In 3.18-3.47, 2 Pb 3.35
2 In 0.9970 0.9939 0.9813  5 In 3.05-3.35, 3 Pb 3.18-3.30, 2 Li 3.25
3 In 0.2441 0.4881 0.7447  5 In 3.05-3.35, 3 Li 3.07-3.17, 2 Pb 3.28
4 Li 0.5033 0.0066 0.5072  5 In 3.07-3.25, 3 Pb 3.11-3.13, 2 Li 3.35


# LiIn2Pb

A PBEsol-optimized structure of LiIn2Pb (SCAN, Alexandria via LeMat-Bulk).

Output
- SG = Pmmm (47)
- formation enthalpy at 0 K (meV/atom) = -127
- DFT total energy (eV per atom) = -36.3627

Lattice parameters (Å, degrees): 3.3423 4.5578 6.4427 90.00 90.00 90.00
With the nearest neighbours (Å) after each atom.
Fractional positions:
1 Pb 0.5000 0.5000 0.5000  2 Li 3.22, 8 In 3.31, 2 Pb 3.34
2 In 0.0000 0.0000 0.7664  3 In 3.01-3.34, 4 Li 3.20, 4 Pb 3.31
3 In 0.0000 0.0000 0.2336  3 In 3.01-3.34, 4 Li 3.20, 4 Pb 3.31
4 Li 0.5000 0.5000 0.0000  8 In 3.20, 2 Pb 3.22, 2 Li 3.34


# LiInPb2

A PBEsol-optimized structure of LiInPb2 (SCAN, Alexandria via LeMat-Bulk).

Output
- SG = Cm (8)
- formation enthalpy at 0 K (meV/atom) = -143
- DFT total energy (eV per atom) = -46.9778

Lattice parameters (Å, degrees): 3.4033 5.6046 5.7755 103.25 107.14 90.00
With the nearest neighbours (Å) after each atom.
Fractional positions:
1 Pb 0.0119 0.0354 0.0239  3 Li 3.16-3.26, 4 In 3.21-3.37, 5 Pb 3.40-3.48
2 Pb 0.2454 0.7257 0.4907  3 In 3.18-3.31, 4 Li 3.27-3.29, 5 Pb 3.40-3.48
3 In 0.4856 0.5054 0.9712  2 Li 3.12, 7 Pb 3.18-3.37, 2 In 3.40
4 Li 0.7571 0.2335 0.5142  2 In 3.12, 7 Pb 3.16-3.29, 2 Li 3.40


# SrLi2InPb

A PBEsol-optimized structure of SrLi2InPb (SCAN, Alexandria via LeMat-Bulk).

Output
- SG = P4/mmm (123)
- formation enthalpy at 0 K (meV/atom) = 719
- DFT total energy (eV per atom) = -26.5255

Lattice parameters (Å, degrees): 5.7498 5.7498 5.9851 90.00 90.00 90.00
With the nearest neighbours (Å) after each atom.
Fractional positions:
1 Pb 0.0000 0.0000 0.5000  2 Sr 2.99
2 Sr 0.0000 0.0000 0.0000  4 Li 2.87, 2 Pb 2.99
3 Li 0.0000 0.5000 0.0000  2 Sr 2.87
4 Li 0.5000 0.0000 0.0000  2 Sr 2.87
5 In 0.5000 0.5000 0.5000  4 Pb 4.07, 8 Li 4.15


# LiIn2Pd

A PBEsol-optimized structure of LiIn2Pd (SCAN, Alexandria via LeMat-Bulk).

Output
- SG = Fm-3m (225)
- formation enthalpy at 0 K (meV/atom) = -513
- DFT total energy (eV per atom) = -25.9977

Lattice parameters (Å, degrees): 4.6077 4.6077 4.6077 60.00 60.00 60.00
With the nearest neighbours (Å) after each atom.
Fractional positions:
1 In 0.2500 0.2500 0.2500  4 Li 2.82, 4 Pd 2.82
2 In 0.7500 0.7500 0.7500  4 Li 2.82, 4 Pd 2.82
3 Pd 0.5000 0.5000 0.5000  8 In 2.82
4 Li 0.0000 0.0000 0.0000  8 In 2.82


# LiPmIn2

A PBEsol-optimized structure of LiPmIn2 (SCAN, Alexandria via LeMat-Bulk).

Output
- SG = Fm-3m (225)
- formation enthalpy at 0 K (meV/atom) = -538
- DFT total energy (eV per atom) = -28.8253

Lattice parameters (Å, degrees): 5.1206 5.1206 5.1206 60.00 60.00 60.00
With the nearest neighbours (Å) after each atom.
Fractional positions:
1 Li 0.0000 0.0000 0.0000  8 In 3.14
2 Pm 0.5000 0.5000 0.5000  8 In 3.14
3 In 0.7500 0.7500 0.7500  4 Pm 3.14, 4 Li 3.14
4 In 0.2500 0.2500 0.2500  4 Li 3.14, 4 Pm 3.14


# LiIn2Pt2

A PBEsol-optimized structure of LiIn2Pt2 (SCAN, Alexandria via LeMat-Bulk).

Output
- SG = P4/mbm (127)
- formation enthalpy at 0 K (meV/atom) = -583
- DFT total energy (eV per atom) = -42.4923

Lattice parameters (Å, degrees): 3.2400 7.4985 7.4985 90.00 90.00 90.00
With the nearest neighbours (Å) after each atom.
Fractional positions:
1 Li 0.0000 0.0000 0.0000  4 Pt 2.90, 2 Li 3.24, 8 In 3.25
2 Li 0.0000 0.5000 0.5000  4 Pt 2.90, 2 Li 3.24, 8 In 3.25
3 Pt 0.0000 0.3617 0.8617  6 In 2.68-2.77, 2 Li 2.90, 1 Pt 2.93
4 Pt 0.0000 0.8617 0.6383  6 In 2.68-2.77, 2 Li 2.90, 1 Pt 2.93
5 Pt 0.0000 0.6383 0.1383  6 In 2.68-2.77, 2 Li 2.90, 1 Pt 2.93
6 Pt 0.0000 0.1383 0.3617  6 In 2.68-2.77, 2 Li 2.90, 1 Pt 2.93
7 In 0.5000 0.1604 0.6604  6 Pt 2.68-2.77
8 In 0.5000 0.6604 0.8396  6 Pt 2.68-2.77
9 In 0.5000 0.8396 0.3396  6 Pt 2.68-2.77
10 In 0.5000 0.3396 0.1604  6 Pt 2.68-2.77


# LiInPt

A PBEsol-optimized structure of LiInPt (SCAN, Alexandria via LeMat-Bulk).

Output
- SG = Imm2 (44)
- formation enthalpy at 0 K (meV/atom) = -620
- DFT total energy (eV per atom) = -35.9426

Lattice parameters (Å, degrees): 2.9056 3.8834 4.8629 113.53 107.38 90.00
With the nearest neighbours (Å) after each atom.
Fractional positions:
1 In 0.9968 0.9968 0.9937  5 Li 2.71-2.85, 5 Pt 2.79-2.81, 2 In 2.91
2 Pt 0.3276 0.3276 0.6552  5 Li 2.74-2.93, 5 In 2.79-2.81, 2 Pt 2.91
3 Li 0.6756 0.6756 0.3511  5 In 2.71-2.85, 5 Pt 2.74-2.93, 2 Li 2.91


# LiInPt

A PBEsol-optimized structure of LiInPt (SCAN, Alexandria via LeMat-Bulk).

Output
- SG = P3m1 (156)
- formation enthalpy at 0 K (meV/atom) = -607
- DFT total energy (eV per atom) = -35.9305

Lattice parameters (Å, degrees): 2.8427 4.3758 4.3758 120.00 90.00 90.00
With the nearest neighbours (Å) after each atom.
Fractional positions:
1 In 0.9785 0.0000 0.0000  3 Li 2.75, 6 Pt 2.83-2.98, 2 In 2.84
2 Pt 0.4233 0.3333 0.6667  3 Li 2.57, 3 In 2.83, 2 Pt 2.84
3 Li 0.5982 0.6667 0.3333  3 Pt 2.57, 3 In 2.75, 2 Li 2.84


# LiInPt

A PBEsol-optimized structure of LiInPt (SCAN, Alexandria via LeMat-Bulk).

Output
- SG = I4mm (107)
- formation enthalpy at 0 K (meV/atom) = -582
- DFT total energy (eV per atom) = -35.9052

Lattice parameters (Å, degrees): 3.3346 3.3346 4.8875 109.95 109.95 90.00
With the nearest neighbours (Å) after each atom.
Fractional positions:
1 In 0.0021 0.0021 0.0042  5 Li 2.74-2.82, 5 Pt 2.79-2.80
2 Pt 0.6754 0.6754 0.3507  4 Li 2.67, 5 In 2.79-2.80
3 Li 0.3225 0.3225 0.6451  4 Pt 2.67, 5 In 2.74-2.82